Record 1
Density functional theory data (PBE-GGA) for a relaxed structure of La7Hg3O2.

The structure in POSCAR format:
```
La7Hg3O2
1.0
-4.373 1.618 1.811
-1.577 -4.811 0.490
5.448 2.055 11.320
La Hg O
7 3 2
direct
0.000 0.399 0.797 La
0.000 0.795 0.589 La
0.000 0.000 0.000 La
0.000 0.601 0.203 La
0.500 0.100 0.200 La
0.500 0.900 0.800 La
0.000 0.205 0.411 La
0.500 0.500 0.000 Hg
0.500 0.698 0.397 Hg
0.500 0.302 0.603 Hg
0.000 0.897 0.794 O
0.000 0.103 0.206 O
```

M_tot = 0.00 μB/cell
Raw formation energy = -1.1870 eV/atom

=====

Record 2
Density functional theory data (PBE-GGA) for a relaxed structure of La12Hg3O4.

The structure in POSCAR format:
```
La12Hg3O4
1.0
-3.379 0.929 8.034
-6.325 -2.410 -5.569
6.254 -6.139 0.153
La Hg O
12 3 4
direct
0.250 0.748 0.998 La
0.750 0.252 0.002 La
0.250 0.252 0.502 La
0.252 0.002 0.750 La
0.998 0.250 0.748 La
0.498 0.750 0.748 La
0.748 0.498 0.750 La
0.002 0.750 0.252 La
0.750 0.748 0.498 La
0.748 0.998 0.250 La
0.502 0.250 0.252 La
0.252 0.502 0.250 La
0.500 0.500 0.000 Hg
0.000 0.500 0.500 Hg
0.500 0.000 0.500 Hg
0.500 0.500 0.500 O
0.500 0.000 0.000 O
0.000 0.000 0.500 O
0.000 0.500 0.000 O
```

M_tot = 0.00 μB/cell
Raw formation energy = -1.2886 eV/atom

=====

| no. | N(E_F) (states/eV/f.u.) |
| --- | --- |
| 1 | 8.879 |
| 2 | 16.712 |